This record from the Alexandria database describes a geometry-optimized PmCoCu structure. The functional is PBE.

## Properties
The density of states at the Fermi level is 10.381 states/eV per cell. As for the raw total energy: -64.7 eV for the cell shown. Its formation energy is -22.1 kJ/mol of formula units.

Cell: 5.011 5.316 7.482 Å, 90.00 90.00 90.00°
Space group Imma (No. 74)
Unique sites:
Pm: 0.000 0.250 0.126 [4 per cell]
Co: 0.000 0.000 0.500 [4 per cell]
Cu: 0.250 0.250 0.750 [4 per cell]

This record from the Alexandria database describes a geometry-optimized PuPtPb structure. The functional is PBE.

## Properties
The density of states at the Fermi level is 11.565 states/eV per cell. As for the raw total energy: -25.2 eV for the cell shown. Its formation energy is -111.8 kJ/mol of formula units.

Cell: 4.8572 4.8572 3.4190 Å, 90.00 90.00 120.00°
Space group P-6m2 (No. 187)
Unique sites:
Pu: 0.0000 0.0000 0.0000 [1 per cell]
Pt: 0.6667 0.3333 0.5000 [1 per cell]
Pb: 0.3333 0.6667 0.5000 [1 per cell]

This record from the Alexandria database describes a geometry-optimized YSc4In structure. The functional is PBE.

## Properties
The density of states at the Fermi level is 33.760 states/eV per cell. As for the raw total energy: -136.4 eV for the cell shown. Its formation energy is 41.2 kJ/mol of formula units.

Cell: 8.520 8.520 8.520 Å, 90.00 90.00 90.00°
Space group F-43m (No. 216)
Unique sites:
Y: 0.000 0.000 0.000 [4 per cell]
Sc: 0.126 0.126 0.374 [16 per cell]
In: 0.250 0.250 0.750 [4 per cell]

This record from the Alexandria database describes a geometry-optimized Tb6Dy2TmSc structure. The functional is PBE.

## Properties
The density of states at the Fermi level is 51.459 states/eV per cell. As for the raw total energy: -186.1 eV for the cell shown. Its formation energy is 121.4 kJ/mol of formula units.

Cell: 9.021 14.838 9.427 Å, 90.00 97.71 90.00°
Space group C2/c (No. 15)
Unique sites:
Tb: 0.060 0.185 0.445 [8 per cell]
Tb: 0.101 0.393 0.617 [8 per cell]
Tb: 0.214 0.220 0.810 [8 per cell]
Dy: 0.249 0.449 0.954 [8 per cell]
Tm: 0.000 0.022 0.750 [4 per cell]
Sc: 0.000 0.413 0.250 [4 per cell]